(1)
Density functional theory data (PBE) for an optimized crystal structure of TbGa3Pt3.

Properties
As for the total energy: -4.921 eV per atom. As for the calculated volume: 318.01 Å³/cell. The formation energy is -0.37 eV per atom. The excess energy over the best structure of this formula in the dataset comes out at 437 meV/atom.

```
TbGa3Pt3
1.0
-4.1677 4.0758 -3.5507
-5.1257 -4.4037 0.9613
-1.7168 3.2534 5.7496
Tb Ga Pt
2 6 6
direct
0.5000 0.5000 0.5000
0.0000 0.0000 0.0000
0.0000 0.2500 0.5000
0.0000 0.7500 0.5000
0.5000 0.0000 0.7500
0.7500 0.5000 0.0000
0.5000 0.0000 0.2500
0.2500 0.5000 0.0000
0.2500 0.0000 0.5000
0.0000 0.5000 0.2500
0.5000 0.7500 0.0000
0.7500 0.0000 0.5000
0.0000 0.5000 0.7500
0.5000 0.2500 0.0000
```



(2)
Density functional theory data (PBE) for an optimized crystal structure of Si3TcB.

Properties
As for the total energy: -5.823 eV per atom. Its energy relative to the elements, uncorrected is 840 meV/atom. As for the calculated volume: 65.59 Å³/cell. The excess energy over the best structure of this formula in the dataset comes out at 0 meV/atom.

```
Si3TcB
1.0
-1.7203 0.5490 -3.6060
-3.1199 -2.2869 1.1403
-1.8896 3.2761 1.4002
Si B Tc
3 1 1
direct
0.0000 0.5000 0.0000
0.0000 0.0000 0.5000
0.5000 0.0000 0.0000
0.0000 0.0000 0.0000
0.5000 0.5000 0.5000
```



(3)
Density functional theory data (PBE) for an optimized crystal structure of LaSc2.

Properties
As for the total energy: -5.776 eV per atom. As for the calculated volume: 169.23 Å³/cell. The formation energy is 0.09 eV per atom. The excess energy over the best structure of this formula in the dataset comes out at 27 meV/atom.

```
LaSc2
1.0
-1.1283 -0.9418 -3.1200
-0.3045 -2.1628 2.6691
-14.7715 6.3180 3.4344
La Sc
2 4
direct
0.0000 0.0000 0.9945
0.0000 0.0000 0.3388
0.0000 0.0000 0.6667
0.6667 0.3333 0.1667
0.6667 0.3333 0.5153
0.6667 0.3333 0.8180
```